# 1
{
  "formula": "MoRuBr3",
  "functional": "meta-GGA SCAN",
  "state": "PBEsol geometry",
  "lattice_angstrom": [[5.0714, 0.0000, 0.0000], [0.0000, 5.0714, 0.0000], [0.0000, 0.0000, 5.0714]],
  "species": ["Ru", "Mo", "Br", "Br", "Br"],
  "fractional_positions": [[0.5000, 0.5000, 0.5000], [0.0000, 0.0000, 0.0000], [0.0000, 0.5000, 0.0000], [0.0000, 0.0000, 0.5000], [0.5000, 0.0000, 0.0000]],
  "final_energy_ev_per_atom": -24.876,
  "e_form_raw_ev_per_atom": 0.742,
  "density_g_cm3": 5.6
}

# 2
{
  "formula": "Li3BiCl",
  "functional": "meta-GGA SCAN",
  "state": "PBEsol geometry",
  "lattice_angstrom": [[4.6437, 0.0000, 0.0000], [0.0000, 4.6437, 0.0000], [0.0000, 0.0000, 4.6437]],
  "species": ["Li", "Li", "Li", "Bi", "Cl"],
  "fractional_positions": [[0.0000, 0.5000, 0.0000], [0.0000, 0.0000, 0.5000], [0.5000, 0.0000, 0.0000], [0.5000, 0.5000, 0.5000], [0.0000, 0.0000, 0.0000]],
  "final_energy_ev_per_atom": -19.657,
  "e_form_raw_ev_per_atom": -0.912,
  "density_g_cm3": 4.4
}

# 3
{
  "formula": "Tl2As",
  "functional": "meta-GGA SCAN",
  "state": "PBEsol geometry",
  "lattice_angstrom": [[-2.9244, -1.6613, 0.2306], [0.7293, -1.6769, -2.8322], [4.1940, -3.2655, 5.0200]],
  "species": ["Tl", "Tl", "As"],
  "fractional_positions": [[0.8519, 0.8519, 0.7037], [0.1481, 0.1481, 0.2963], [0.5000, 0.5000, 0.0000]],
  "final_energy_ev_per_atom": -54.855,
  "delta_e_f_mev_per_atom": 114,
  "polymorph_energy_ev_per_fu": 0.214,
  "density_g_cm3": 10.2
}